Here is a relaxed structure of TeAsBr2 from Alexandria. Energies are from PBE.

Output
Formation energy without anion corrections (eV/atom): 0.52
Calculated total energy (eV per atom): -2.267
N(E_F) (states/eV/f.u.): 2.77
Distance to the lowest polymorph of the same formula (meV per atom): 689

Unit cell a=3.3295 b=4.4578 c=6.6824 alpha=90.00 beta=90.00 gamma=90.00
With the nearest neighbours (Å) after each atom.
Atoms (fractional coordinates):
Te 0.5000 0.5000 0.2500  8 Br 3.29, 2 Te 3.33, 2 As 3.34
Br 0.0000 0.0000 0.9874  4 Br 3.17-3.51, 4 As 3.20, 4 Te 3.29
Br 0.0000 0.0000 0.5126  4 Br 3.17-3.51, 4 As 3.20, 4 Te 3.29
As 0.5000 0.5000 0.7500  8 Br 3.20, 2 As 3.33, 2 Te 3.34

***

Here is a relaxed structure of TeAsBr3 from Alexandria. Energies are from PBE.

Output
Formation energy without anion corrections (eV/atom): -0.24
Calculated total energy (eV per atom): -2.803
N(E_F) (states/eV/f.u.): 0.88
Distance to the lowest polymorph of the same formula (meV per atom): 0

Unit cell a=4.0310 b=7.5660 c=14.1579 alpha=82.10 beta=84.97 gamma=76.29
With the nearest neighbours (Å) after each atom.
Atoms (fractional coordinates):
As 0.1275 0.4155 0.6805  3 Br 2.37-2.47
Br 0.0617 0.5745 0.4343  1 As 2.47
Br 0.5899 0.4717 0.2163  1 As 2.37
Br 0.2956 0.0918 0.3632  1 As 2.45
As 0.5609 0.3452 0.3786  3 Br 2.37-2.47
Br 0.3923 0.6691 0.6959  1 As 2.45
Te 0.7676 0.0267 0.0719  1 Te 2.58
Te 0.9195 0.7342 0.9870  1 Te 2.58
Br 0.0997 0.2887 0.8429  1 As 2.37
Br 0.6262 0.1863 0.6247  1 As 2.47

***

Here is a relaxed structure of TeAsBr2 from Alexandria. Energies are from PBE.

Output
Formation energy without anion corrections (eV/atom): 0.53
Calculated total energy (eV per atom): -2.250
N(E_F) (states/eV/f.u.): 3.53
Distance to the lowest polymorph of the same formula (meV per atom): 706

Unit cell a=5.5944 b=5.5944 c=3.3304 alpha=90.00 beta=90.00 gamma=107.55
With the nearest neighbours (Å) after each atom.
Atoms (fractional coordinates):
As 0.0000 0.5000 0.5000  8 Br 3.26, 2 Te 3.31, 2 As 3.33
Br 0.0000 0.0000 0.0000  4 As 3.26, 4 Te 3.26, 4 Br 3.31-3.33
Br 0.5000 0.5000 0.0000  4 Te 3.26, 4 As 3.26, 4 Br 3.31-3.33
Te 0.5000 0.0000 0.5000  8 Br 3.26, 2 As 3.31, 2 Te 3.33

***

Here is a relaxed structure of TeAsBr2 from Alexandria. Energies are from PBE.

Output
Formation energy without anion corrections (eV/atom): 0.26
Calculated total energy (eV per atom): -2.527
N(E_F) (states/eV/f.u.): 2.03
Distance to the lowest polymorph of the same formula (meV per atom): 428

Unit cell a=5.7834 b=5.7834 c=4.8537 alpha=66.63 beta=66.63 gamma=110.11
With the nearest neighbours (Å) after each atom.
Atoms (fractional coordinates):
Br 0.0000 0.0000 0.0000  2 Te 2.95, 2 As 2.95
Te 0.5000 0.0000 0.5000  4 Br 2.95
As 0.0000 0.5000 0.5000  4 Br 2.95
Br 0.5000 0.5000 0.0000  2 As 2.95, 2 Te 2.95

***

Here is a relaxed structure of TeAsBr2 from Alexandria. Energies are from PBE.

Output
Formation energy without anion corrections (eV/atom): 0.06
Calculated total energy (eV per atom): -2.727
N(E_F) (states/eV/f.u.): 2.30
Distance to the lowest polymorph of the same formula (meV per atom): 228

Unit cell a=7.7953 b=7.7953 c=7.7953 alpha=152.04 beta=144.49 gamma=45.79
With the nearest neighbours (Å) after each atom.
Atoms (fractional coordinates):
Br 0.0069 0.0069 0.0000  4 Te 3.19
Br 0.7523 0.2523 0.5000  4 As 3.12
Te 0.4374 0.4374 0.0000  2 As 2.69
As 0.3034 0.8034 0.5000  2 Te 2.69

***

Here is a relaxed structure of TeAsBr2 from Alexandria. Energies are from PBE.

Output
Formation energy without anion corrections (eV/atom): -0.08
Calculated total energy (eV per atom): -2.860
N(E_F) (states/eV/f.u.): 2.17
Distance to the lowest polymorph of the same formula (meV per atom): 95

Unit cell a=3.5393 b=7.6516 c=7.6500 alpha=44.60 beta=90.00 gamma=90.00
With the nearest neighbours (Å) after each atom.
Atoms (fractional coordinates):
Te 0.5000 0.2500 0.2500  2 As 2.90
Br 0.0000 0.8898 0.8897  2 As 2.65
As 0.5000 0.7500 0.7500  4 Br 2.65, 2 Te 2.90
Br 0.0000 0.6102 0.6103  2 As 2.65

***

Here is a relaxed structure of TeAsBr2 from Alexandria. Energies are from PBE.

Output
Formation energy without anion corrections (eV/atom): 0.17
Calculated total energy (eV per atom): -2.618
N(E_F) (states/eV/f.u.): 2.92
Distance to the lowest polymorph of the same formula (meV per atom): 338

Unit cell a=4.9161 b=4.9161 c=8.7622 alpha=90.00 beta=90.00 gamma=133.90
With the nearest neighbours (Å) after each atom.
Atoms (fractional coordinates):
As 0.5000 0.5000 0.7357  2 Te 2.64, 2 Br 2.81
Br 0.0000 0.0000 0.9700  2 As 2.81
Te 0.0000 0.0000 0.5294  2 As 2.64
Br 0.5000 0.5000 0.2649  2 Te 3.01, 2 Br 3.22

***

Here is a relaxed structure of TeAsBr2 from Alexandria. Energies are from PBE.

Output
Formation energy without anion corrections (eV/atom): -0.15
Calculated total energy (eV per atom): -2.939
N(E_F) (states/eV/f.u.): 1.08
Distance to the lowest polymorph of the same formula (meV per atom): 17

Unit cell a=3.9675 b=6.5136 c=6.6016 alpha=75.76 beta=83.50 gamma=97.18
With the nearest neighbours (Å) after each atom.
Atoms (fractional coordinates):
As 0.6881 0.9273 0.5925  1 Br 2.37
Br 0.5883 0.5475 0.6684  1 As 2.37
Te 0.2499 0.0516 0.3017  2 As 2.67-2.78, 1 Br 2.88
Br 0.9738 0.9737 0.9374  1 As 2.72, 1 Te 2.88

***

Here is a relaxed structure of TeAsBr2 from Alexandria. Energies are from PBE.

Output
Formation energy without anion corrections (eV/atom): 0.15
Calculated total energy (eV per atom): -2.632
N(E_F) (states/eV/f.u.): 2.30
Distance to the lowest polymorph of the same formula (meV per atom): 324

Unit cell a=7.7725 b=7.7725 c=5.7572 alpha=68.06 beta=68.06 gamma=25.27
With the nearest neighbours (Å) after each atom.
Atoms (fractional coordinates):
Br 0.8983 0.8983 0.1008  2 As 2.69
Br 0.6017 0.6017 0.3992  2 As 2.69
As 0.2500 0.2500 0.2500  4 Br 2.69
Te 0.7500 0.7500 0.7500  4 As 3.34, 2 Te 3.40, 4 Br 3.55

***

Here is a relaxed structure of TeAsBr2 from Alexandria. Energies are from PBE.

Output
Formation energy without anion corrections (eV/atom): 0.62
Calculated total energy (eV per atom): -2.167
N(E_F) (states/eV/f.u.): 6.03
Distance to the lowest polymorph of the same formula (meV per atom): 788

Unit cell a=5.2251 b=5.2251 c=5.2251 alpha=60.00 beta=60.00 gamma=60.00
With the nearest neighbours (Å) after each atom.
Atoms (fractional coordinates):
Te 0.5000 0.5000 0.5000  8 Br 3.20
As 0.0000 0.0000 0.0000  8 Br 3.20
Br 0.2500 0.2500 0.2500  4 Te 3.20, 4 As 3.20
Br 0.7500 0.7500 0.7500  4 Te 3.20, 4 As 3.20

***

Here is a relaxed structure of TeAsBr3 from Alexandria. Energies are from PBE.

Output
Formation energy without anion corrections (eV/atom): 0.38
Calculated total energy (eV per atom): -2.185
N(E_F) (states/eV/f.u.): 4.88
Distance to the lowest polymorph of the same formula (meV per atom): 618

Unit cell a=5.6244 b=5.6244 c=5.6244 alpha=90.00 beta=90.00 gamma=90.00
With the nearest neighbours (Å) after each atom.
Atoms (fractional coordinates):
Br 0.0000 0.0000 0.5000  2 Te 2.81
Br 0.5000 0.0000 0.0000  2 Te 2.81
Te 0.0000 0.0000 0.0000  6 Br 2.81
As 0.5000 0.5000 0.5000  12 Br 3.98
Br 0.0000 0.5000 0.0000  2 Te 2.81

***

Here is a relaxed structure of TeAsBr2 from Alexandria. Energies are from PBE.

Output
Formation energy without anion corrections (eV/atom): -0.11
Calculated total energy (eV per atom): -2.899
N(E_F) (states/eV/f.u.): 0.45
Distance to the lowest polymorph of the same formula (meV per atom): 57

Unit cell a=4.2336 b=4.2404 c=7.8564 alpha=90.00 beta=90.00 gamma=90.00
With the nearest neighbours (Å) after each atom.
Atoms (fractional coordinates):
Te 0.0000 0.0000 0.6109  1 Br 2.55
As 0.5000 0.5000 0.6294  1 Br 2.39
Br 0.5000 0.5000 0.3246  1 As 2.39
Br 0.0000 0.0000 0.9352  1 Te 2.55